# MgVBiO6 (PBE+U, relaxed)
data_MgVBiO6
_chemical_formula_sum 'Mg2 V2 Bi2 O12'
_cell_length_a 6.864
_cell_length_b 5.843
_cell_length_c 8.324
_cell_angle_alpha 90.00
_cell_angle_beta 104.67
_cell_angle_gamma 90.00
_symmetry_space_group_name_H-M 'P 1 21/m 1'
_symmetry_Int_Tables_number 11
loop_
_symmetry_equiv_pos_as_xyz
'x,y,z'
'-x,-y,-z'
'-x,y+1/2,-z'
'x,-y+1/2,z'
loop_
_atom_site_label
_atom_site_type_symbol
_atom_site_fract_x
_atom_site_fract_y
_atom_site_fract_z
_atom_site_occupancy
Mg1 Mg 0.099 0.250 0.260 1
V1 V 0.220 0.250 0.878 1
Bi1 Bi 0.484 0.750 0.402 1
O1 O 0.091 0.013 0.790 1
O2 O 0.252 0.250 0.088 1
O3 O 0.297 0.026 0.438 1
O4 O 0.476 0.250 0.835 1
# Total DFT energy (no corrections), eV per formula unit: -56.4